# Pm2YNi

A geometry-optimized Pm2YNi structure (GGA-PBE, Alexandria).

Summary:
As for the density of states at the Fermi level: 16.11 states/eV per cell. The calculation puts the energy relative to the elements at -0.05 eV per atom. The electronic total energy comes out at -65.8 eV for the cell shown. As for the relative energy among the computed polymorphs: 157 meV per atom. The calculated volume is 117.2 Å³/f.u.

a b c (Å): 3.8436 3.8436 27.4910
angles (deg): 90.00 90.00 120.00
Space group R3m (No. 160, hexagonal axes)
One atom of each set of equivalent atoms:
1 Pm 0.0000 0.0000 0.0000
2 Pm 0.0000 0.0000 0.2121
3 Y 0.0000 0.0000 0.4401
4 Ni 0.0000 0.0000 0.6056